Entry 1:
The following is a DFT calculation (PBE) of Ba3LaCr after structural relaxation.

Cell: 6.431 6.431 6.431 Å, 90.00 90.00 90.00°
Atoms (fractional coordinates):
Ba (0.000, 0.000, 0.500)
Ba (0.000, 0.500, 0.000)
Ba (0.500, 0.000, 0.000)
La (0.000, 0.000, 0.000)
Cr (0.500, 0.500, 0.500)

Values from the calculation:
space-group type = Pm-3m

Entry 2:
The following is a DFT calculation (PBE) of TaCdIn2 after structural relaxation.

Cell: 5.929 5.929 3.070 Å, 104.67 104.67 115.25°
Atoms (fractional coordinates):
Ta (0.000, 0.000, 0.000)
Cd (0.500, 0.500, 0.000)
In (0.000, 0.500, 0.500)
In (0.500, 0.000, 0.500)

Values from the calculation:
space-group type = C2/m

| no. | density (g/cm³) | uncorrected energy (eV per formula unit) |
| --- | --- | --- |
| 1 | 3.8 | -15.1 |
| 2 | 10.1 | -17.1 |